# 1
KY3Os, relaxed, DFT PBE-GGA; excess energy over the best structure of this formula in the dataset = 1822 meV per atom; energy relative to the elements = 9.5 eV/f.u.
1.0
5.0414 0.0000 0.0000
0.0000 5.0414 0.0000
0.0000 0.0000 5.0414
K Y Os
1 3 1
Cartesian
0.0000 0.0000 0.0000
0.0000 0.0000 2.5207
0.0000 2.5207 0.0000
2.5207 0.0000 0.0000
2.5207 2.5207 2.5207


# 2
Ga2PdPt2, relaxed, DFT PBE-GGA; excess energy over the best structure of this formula in the dataset = 39 meV per atom; energy relative to the elements = -2.8 eV/f.u.
1.0
7.3551 0.0000 0.0000
0.0000 7.3551 0.0000
0.0000 0.0000 2.8808
Ga Pd Pt
4 2 4
Cartesian
1.1456 2.5319 0.0000
2.5319 6.2095 0.0000
4.8232 1.1456 0.0000
6.2095 4.8232 0.0000
0.0000 0.0000 0.0000
3.6775 3.6775 0.0000
1.0512 4.7287 1.4404
2.6264 1.0512 1.4404
4.7287 6.3039 1.4404
6.3039 2.6264 1.4404


# 3
RbRh2Se, relaxed, DFT PBE-GGA; uncorrected formation energy = 0.048 eV per atom
1.0
5.1444 0.0000 0.0000
0.0000 5.1444 0.0000
0.0000 0.0000 16.5795
Rb Rh Se
4 8 4
Cartesian
0.0000 1.2861 6.2173
0.0000 3.8583 10.3622
2.5722 1.2861 2.0724
2.5722 3.8583 14.5070
0.0000 0.0000 0.0000
0.0000 2.5722 0.0000
1.2861 1.2861 12.4346
1.2861 3.8583 4.1449
2.5722 0.0000 8.2897
2.5722 2.5722 8.2897
3.8583 1.2861 12.4346
3.8583 3.8583 4.1449
0.0000 1.2861 14.5070
0.0000 3.8583 2.0724
2.5722 1.2861 10.3622
2.5722 3.8583 6.2173


# 4
Pm3TmSi2, relaxed, DFT PBE-GGA; excess energy over the best structure of this formula in the dataset = 0 meV per atom; uncorrected formation energy = -0.511 eV per atom
1.0
4.3963 0.0000 0.0000
0.0000 4.4952 0.0000
0.0000 0.0000 16.1848
Pm Tm Si
6 2 4
Cartesian
0.0000 0.0000 0.0000
0.0000 2.2476 5.1651
0.0000 2.2476 11.0197
2.1982 0.0000 2.9273
2.1982 0.0000 13.2576
2.1982 2.2476 8.0924
0.0000 0.0000 8.0924
2.1982 2.2476 0.0000
0.0000 2.2476 2.1389
0.0000 2.2476 14.0460
2.1982 0.0000 5.9536
2.1982 0.0000 10.2313


# 5
SrAl2, relaxed, DFT PBE-GGA; energy relative to the elements = 0.1 eV/f.u.
1.0
5.4628 0.0000 0.0000
0.0000 5.4628 0.0000
0.0000 0.0000 11.0099
Sr Al
4 8
Cartesian
0.0000 0.0000 2.7525
0.0000 0.0000 8.2574
2.7314 2.7314 2.7525
2.7314 2.7314 8.2574
0.9663 1.7651 0.0000
0.9663 3.6977 5.5050
1.7651 0.9663 5.5050
1.7651 4.4965 0.0000
3.6977 0.9663 0.0000
3.6977 4.4965 5.5050
4.4965 1.7651 5.5050
4.4965 3.6977 0.0000


# 6
As2SeCl, relaxed, DFT PBE-GGA; excess energy over the best structure of this formula in the dataset = 0 meV per atom; uncorrected formation energy = -0.132 eV per atom
1.0
5.2060 0.0000 0.0000
0.0000 3.7449 0.0000
-0.9682 0.0000 5.6122
As Se Cl
2 1 1
Cartesian
0.0000 0.0000 0.0000
1.6515 1.8724 0.7375
3.7822 0.0000 1.8448
1.6670 1.8724 4.3397


# 7
MnTl2Rh, relaxed, DFT PBE-GGA; excess energy over the best structure of this formula in the dataset = 157 meV per atom; energy relative to the elements = 1.3 eV/f.u.
1.0
9.1188 0.0000 0.0000
0.0000 3.4216 0.0000
-1.2929 0.0000 5.0513
Mn Tl Rh
2 4 2
Cartesian
0.0000 0.0000 0.0000
4.5594 1.7108 0.0000
1.2739 0.0000 3.7553
1.9926 1.7108 1.2961
5.8333 1.7108 3.7553
6.5520 0.0000 1.2961
-0.6465 1.7108 2.5257
3.9129 0.0000 2.5257


# 8
Ac2SmPt2I2, relaxed, DFT PBE-GGA; uncorrected formation energy = -1.050 eV per atom
1.0
5.3623 0.0000 0.0000
0.0000 5.3623 0.0000
0.0000 0.0000 17.4709
Ac Sm Pt I
4 2 4 4
Cartesian
0.0000 0.0000 1.8855
0.0000 0.0000 15.5854
2.6812 2.6812 6.8499
2.6812 2.6812 10.6210
0.0000 0.0000 8.7354
2.6812 2.6812 0.0000
0.0000 2.6812 0.0000
0.0000 2.6812 8.7354
2.6812 0.0000 0.0000
2.6812 0.0000 8.7354
0.0000 0.0000 5.3597
0.0000 0.0000 12.1112
2.6812 2.6812 3.3758
2.6812 2.6812 14.0951


# 9
TaSbMo, relaxed, DFT PBE-GGA; excess energy over the best structure of this formula in the dataset = 196 meV per atom; uncorrected formation energy = 0.112 eV per atom
1.0
6.0462 0.0000 0.0000
0.0000 6.0697 0.0000
-2.5610 0.0000 6.5721
Ta Sb Mo
4 4 4
Cartesian
1.5116 1.5174 0.0000
1.5116 4.5523 0.0000
4.5347 1.5174 0.0000
4.5347 4.5523 0.0000
0.0134 0.0000 2.0640
0.4488 3.0348 4.5080
3.0365 3.0348 2.0640
3.4719 0.0000 4.5080
-0.0202 3.0348 1.7098
0.4823 0.0000 4.8622
3.0029 0.0000 1.7098
3.5055 3.0348 4.8622


# 10
KZnNi2, relaxed, DFT PBE-GGA; excess energy over the best structure of this formula in the dataset = 437 meV per atom; energy relative to the elements = 3.0 eV/f.u.
1.0
2.7545 0.0000 0.0000
0.0000 4.7162 0.0000
0.0000 0.0000 5.0578
K Zn Ni
1 1 2
Cartesian
0.0000 0.0000 0.0000
1.3773 0.0000 2.5289
0.0000 2.3581 2.5289
1.3773 2.3581 0.0000


# 11
TbGdYCd, relaxed, DFT PBE-GGA; energy relative to the elements = -0.1 eV/f.u.
1.0
7.7385 0.0000 0.0000
0.0000 7.7385 0.0000
0.0000 0.0000 7.7385
Tb Gd Y Cd
4 4 4 4
Cartesian
0.0000 0.0000 0.0000
0.0000 3.8692 3.8692
3.8692 0.0000 3.8692
3.8692 3.8692 0.0000
1.9346 1.9346 1.9346
1.9346 5.8039 5.8039
5.8039 1.9346 5.8039
5.8039 5.8039 1.9346
1.9346 1.9346 5.8039
1.9346 5.8039 1.9346
5.8039 1.9346 1.9346
5.8039 5.8039 5.8039
0.0000 0.0000 3.8692
0.0000 3.8692 0.0000
3.8692 0.0000 0.0000
3.8692 3.8692 3.8692


# 12
MnAlCu, relaxed, DFT PBE-GGA; energy relative to the elements = -0.3 eV/f.u.
1.0
2.7539 0.0000 0.0000
0.0000 2.7539 0.0000
0.0000 0.0000 10.2385
Mn Al Cu
2 2 2
Cartesian
0.0000 0.0000 0.0000
1.3770 1.3770 5.1193
0.0000 0.0000 6.8063
1.3770 1.3770 1.6870
0.0000 0.0000 3.3855
1.3770 1.3770 8.5048


Number 1: theoretical density 6.4 Mg/m³. Number 2: theoretical density 13.6 Mg/m³. Number 3: theoretical density 5.6 Mg/m³. Number 4: theoretical density 6.9 Mg/m³. Number 5: theoretical density 2.9 Mg/m³. Number 6: theoretical density 4.0 Mg/m³. Number 7: theoretical density 11.9 Mg/m³. Number 8: theoretical density 8.3 Mg/m³. Number 9: theoretical density 11.0 Mg/m³. Number 10: theoretical density 5.6 Mg/m³. Number 11: theoretical density 7.4 Mg/m³. Number 12: theoretical density 6.2 Mg/m³.